! Ta2CdSi (PBE, relaxed); values from VASP
&SYSTEM
  ibrav = 0, nat = 4, ntyp = 3
/
ATOMIC_SPECIES
Si 28.09 Si.upf
Cd 112.41 Cd.upf
Ta 180.95 Ta.upf
CELL_PARAMETERS angstrom
5.286 -0.011 -0.026
2.235 4.790 0.026
-3.362 -3.016 2.746
ATOMIC_POSITIONS angstrom
Si 1.269 2.051 1.386
Cd 3.639 2.312 0.000
Ta 0.148 0.094 0.000
Ta 2.863 -0.306 1.360
! M_tot   0.000 μB per formula unit
! Formation energy (no corrections)   197 meV/atom

---

! PmPaRe (PBE, relaxed); values from VASP
&SYSTEM
  ibrav = 0, nat = 3, ntyp = 3
/
ATOMIC_SPECIES
Pa 231.04 Pa.upf
Pm 145.00 Pm.upf
Re 186.21 Re.upf
CELL_PARAMETERS angstrom
3.518 0.000 0.000
0.000 3.518 0.000
-1.759 -1.759 5.719
ATOMIC_POSITIONS angstrom
Pa 1.759 1.759 2.224
Pm 1.759 1.759 5.667
Re 0.000 0.000 3.547
! M_tot   0.000 μB per formula unit
! Calculated formation energy   0.21 eV/f.u.

---

! Pm3ScSn6 (PBE, relaxed); values from VASP
&SYSTEM
  ibrav = 0, nat = 20, ntyp = 3
/
ATOMIC_SPECIES
Pm 145.00 Pm.upf
Sn 118.71 Sn.upf
Sc 44.96 Sc.upf
CELL_PARAMETERS angstrom
-6.737 -2.013 -1.078
3.081 -8.074 -4.180
0.619 -3.682 7.568
ATOMIC_POSITIONS angstrom
Pm 0.310 -1.841 3.784
Pm -2.653 -2.477 0.797
Pm -0.383 -11.292 1.513
Pm -1.828 -5.043 -2.629
Pm 1.703 -5.896 -0.413
Pm -4.740 -7.873 2.722
Sn -0.238 -4.367 1.966
Sn 0.479 -7.127 -3.198
Sn -0.839 -4.901 5.052
Sn -3.515 -6.642 5.508
Sn -3.229 -4.976 2.932
Sn -3.206 -10.753 3.083
Sn 0.192 -8.793 -0.622
Sn -2.799 -9.402 0.344
Sn 1.001 -8.446 2.231
Sn 0.169 -3.016 -0.773
Sn -2.198 -8.868 -2.742
Sn -4.037 -5.323 0.079
Sc 0.000 0.000 0.000
Sc -1.518 -6.885 1.155
! M_tot   0.000 μB per formula unit
! Calculated formation energy   -4.68 eV/f.u.

---

! LaZn2SbPt (PBE, relaxed); values from VASP
&SYSTEM
  ibrav = 0, nat = 5, ntyp = 4
/
ATOMIC_SPECIES
Zn 65.41 Zn.upf
Sb 121.76 Sb.upf
La 138.91 La.upf
Pt 195.08 Pt.upf
CELL_PARAMETERS angstrom
4.796 0.000 0.000
0.000 5.467 0.000
0.000 0.000 4.796
ATOMIC_POSITIONS angstrom
Zn 0.000 0.000 2.398
Zn 2.398 0.000 0.000
Sb 0.000 2.734 0.000
La 2.398 2.734 2.398
Pt 0.000 0.000 0.000
! M_tot   0.000 μB per formula unit
! Formation energy (no corrections)   -430 meV/atom

---

! MgSiAs2 (PBE, relaxed); values from VASP
&SYSTEM
  ibrav = 0, nat = 4, ntyp = 3
/
ATOMIC_SPECIES
As 74.92 As.upf
Si 28.09 Si.upf
Mg 24.30 Mg.upf
CELL_PARAMETERS angstrom
-3.605 1.428 1.068
-1.570 -0.424 -4.730
-1.161 -3.450 0.694
ATOMIC_POSITIONS angstrom
As 0.000 0.000 0.000
As -2.587 0.502 -1.831
Si -1.365 -1.937 -2.018
Mg -2.383 -1.011 0.881
! M_tot   0.000 μB per formula unit
! Energy above the lowest structure with this stoichiometry   1.936 eV per formula unit
! Formation energy (no corrections)   168 meV/atom

---

! NaPS2O (PBE, relaxed); values from VASP
&SYSTEM
  ibrav = 0, nat = 5, ntyp = 4
/
ATOMIC_SPECIES
S 32.06 S.upf
O 16.00 O.upf
P 30.97 P.upf
Na 22.99 Na.upf
CELL_PARAMETERS angstrom
4.839 0.000 0.000
0.000 4.839 0.000
0.000 0.000 3.650
ATOMIC_POSITIONS angstrom
S 0.000 2.420 0.000
S 2.420 0.000 0.000
O 0.000 0.000 0.000
P 0.000 0.000 1.825
Na 2.420 2.420 1.825
! M_tot   0.000 μB per formula unit
! Energy above the lowest structure with this stoichiometry   0.000 eV per formula unit
! Formation energy (no corrections)   293 meV/atom

---

! La3Ho4In (PBE, relaxed); values from VASP
&SYSTEM
  ibrav = 0, nat = 16, ntyp = 3
/
ATOMIC_SPECIES
La 138.91 La.upf
In 114.82 In.upf
Ho 164.93 Ho.upf
CELL_PARAMETERS angstrom
-2.239 -1.908 5.518
6.470 -2.623 1.718
2.835 10.012 4.612
ATOMIC_POSITIONS angstrom
La 7.100 2.701 3.817
La -0.334 -1.274 2.970
La 5.796 5.634 5.409
La 4.351 0.531 3.059
La 3.106 5.209 7.714
La 1.716 0.300 5.453
In 0.206 -2.868 6.101
In 4.372 2.431 6.080
Ho 2.686 7.043 4.470
Ho 4.972 -0.873 6.204
Ho 1.274 3.764 5.092
Ho 2.962 -2.563 3.744
Ho 3.426 -4.098 6.790
Ho 6.321 3.889 8.397
Ho 1.199 1.793 2.051
Ho 1.640 2.146 8.379
! M_tot   0.000 μB per formula unit
! Calculated formation energy   -0.80 eV/f.u.

---

! Cr2CoSb (PBE, relaxed); values from VASP
&SYSTEM
  ibrav = 0, nat = 4, ntyp = 3
/
ATOMIC_SPECIES
Co 58.93 Co.upf
Sb 121.76 Sb.upf
Cr 52.00 Cr.upf
CELL_PARAMETERS angstrom
7.970 -0.135 -0.079
7.438 2.867 -0.079
7.438 1.319 2.547
ATOMIC_POSITIONS angstrom
Co 17.135 3.039 1.791
Sb 5.712 1.013 0.597
Cr 0.207 0.037 0.022
Cr 11.216 1.989 1.173
! M_tot   6.129 μB per formula unit
! Formation energy (no corrections)   641 meV/atom

---

! Li2NiPd2 (PBE, relaxed); values from VASP
&SYSTEM
  ibrav = 0, nat = 10, ntyp = 3
/
ATOMIC_SPECIES
Ni 58.69 Ni.upf
Pd 106.42 Pd.upf
Li 6.94 Li.upf
CELL_PARAMETERS angstrom
6.719 0.000 0.000
0.000 6.719 0.000
0.000 0.000 2.834
ATOMIC_POSITIONS angstrom
Ni 3.359 3.359 0.000
Ni 0.000 0.000 0.000
Pd 5.495 2.136 1.417
Pd 2.136 1.224 1.417
Pd 4.583 5.495 1.417
Pd 1.224 4.583 1.417
Li 5.907 4.172 0.000
Li 2.547 5.907 0.000
Li 4.172 0.812 0.000
Li 0.812 2.547 0.000
! M_tot   0.000 μB per formula unit
! Calculated formation energy   -0.62 eV/f.u.
! Energy above the lowest structure with this stoichiometry   0.000 eV per formula unit

---

! LaPmNi3 (PBE, relaxed); values from VASP
&SYSTEM
  ibrav = 0, nat = 10, ntyp = 3
/
ATOMIC_SPECIES
Ni 58.69 Ni.upf
La 138.91 La.upf
Pm 145.00 Pm.upf
CELL_PARAMETERS angstrom
-1.618 -3.040 2.185
0.139 -2.338 -3.150
11.525 -2.613 4.896
ATOMIC_POSITIONS angstrom
Ni 1.524 -4.320 0.828
Ni 3.566 -3.202 0.088
Ni -0.612 -3.623 0.216
Ni 8.523 -3.672 3.103
Ni 10.659 -4.369 3.715
Ni 6.481 -4.790 3.842
La 6.672 -4.215 0.978
La 3.374 -3.777 2.953
Pm 8.881 -6.720 2.934
Pm 1.166 -1.272 0.996
! M_tot   0.000 μB per formula unit
! Calculated formation energy   -1.65 eV/f.u.
! Energy above the lowest structure with this stoichiometry   0.029 eV per formula unit

---

! Y6Tm2Zr (PBE, relaxed); values from VASP
&SYSTEM
  ibrav = 0, nat = 18, ntyp = 3
/
ATOMIC_SPECIES
Y 88.91 Y.upf
Zr 91.22 Zr.upf
Tm 168.93 Tm.upf
CELL_PARAMETERS angstrom
6.312 0.003 0.894
1.025 9.317 2.439
0.004 0.373 9.678
ATOMIC_POSITIONS angstrom
Y 3.769 6.359 5.781
Y 5.358 5.386 2.643
Y 3.573 3.335 7.230
Y 2.417 7.663 11.745
Y 1.983 4.307 10.367
Y 4.924 2.030 1.266
Y 5.667 8.934 7.071
Y 1.553 0.149 2.340
Y 6.636 3.831 8.275
Y 1.674 0.759 5.940
Y 0.705 5.862 4.736
Y 5.788 9.544 10.671
Zr 1.711 1.507 8.984
Zr 5.630 8.186 4.026
Tm 4.427 6.494 9.174
Tm 2.915 3.199 3.837
Tm 6.013 2.690 4.697
Tm 1.329 7.003 8.314
! M_tot   0.001 μB per formula unit
! Calculated formation energy   1.41 eV/f.u.

---

! CaAlCu2 (PBE, relaxed); values from VASP
&SYSTEM
  ibrav = 0, nat = 4, ntyp = 3
/
ATOMIC_SPECIES
Al 26.98 Al.upf
Cu 63.55 Cu.upf
Ca 40.08 Ca.upf
CELL_PARAMETERS angstrom
4.101 0.000 0.000
0.000 3.560 0.002
0.000 1.763 5.107
ATOMIC_POSITIONS angstrom
Al 0.000 2.438 1.985
Cu 2.051 0.673 1.423
Cu 0.000 0.663 0.110
Ca 2.051 4.210 4.146
! M_tot   0.000 μB per formula unit
! Calculated formation energy   -0.28 eV/f.u.

---

! Nb4Pd4Pt3 (PBE, relaxed); values from VASP
&SYSTEM
  ibrav = 0, nat = 11, ntyp = 3
/
ATOMIC_SPECIES
Pt 195.08 Pt.upf
Nb 92.91 Nb.upf
Pd 106.42 Pd.upf
CELL_PARAMETERS angstrom
-1.152 0.651 2.482
-3.969 0.498 -1.973
-5.261 -13.274 2.181
ATOMIC_POSITIONS angstrom
Pt -6.494 -8.984 0.706
Pt -5.270 -13.269 2.198
Pt -3.887 -3.143 1.979
Nb -2.777 -0.973 0.295
Nb -5.479 -4.123 -0.107
Nb -7.606 -11.155 2.395
Nb -4.902 -8.003 2.792
Pd -3.823 -5.932 1.147
Pd -4.823 -10.690 1.957
Pd -6.557 -6.195 1.538
Pd -5.558 -1.435 0.730
! M_tot   0.000 μB per formula unit
! Calculated formation energy   -5.26 eV/f.u.

---

! PtRhAu2 (PBE, relaxed); values from VASP
&SYSTEM
  ibrav = 0, nat = 4, ntyp = 3
/
ATOMIC_SPECIES
Rh 102.91 Rh.upf
Pt 195.08 Pt.upf
Au 196.97 Au.upf
CELL_PARAMETERS angstrom
4.841 0.000 0.000
0.000 4.841 0.000
0.000 0.000 2.831
ATOMIC_POSITIONS angstrom
Rh 0.000 0.000 1.416
Pt 2.421 2.421 1.416
Au 2.421 0.000 0.000
Au 0.000 2.421 0.000
! M_tot   0.000 μB per formula unit
! Calculated formation energy   0.81 eV/f.u.
! Energy above the lowest structure with this stoichiometry   0.545 eV per formula unit

---

! Na2MgTl6 (PBE, relaxed); values from VASP
&SYSTEM
  ibrav = 0, nat = 9, ntyp = 3
/
ATOMIC_SPECIES
Tl 204.38 Tl.upf
Na 22.99 Na.upf
Mg 24.30 Mg.upf
CELL_PARAMETERS angstrom
-0.817 -1.422 -5.554
3.191 -8.377 1.675
-5.658 3.597 3.946
ATOMIC_POSITIONS angstrom
Tl -0.457 -3.105 1.187
Tl 0.697 -6.135 1.793
Tl -3.980 -0.066 -1.726
Tl -2.826 -3.096 -1.120
Tl 2.227 -7.627 -1.394
Tl 0.148 -2.171 -2.485
Na -2.957 -0.856 1.354
Na -0.327 -5.345 -1.287
Mg 0.000 0.000 0.000
! M_tot   0.000 μB per formula unit
! Calculated formation energy   -0.07 eV/f.u.
! Energy above the lowest structure with this stoichiometry   0.496 eV per formula unit

---

! EuGaGe2 (PBE, relaxed); values from VASP
&SYSTEM
  ibrav = 0, nat = 4, ntyp = 3
/
ATOMIC_SPECIES
Ge 72.64 Ge.upf
Ga 69.72 Ga.upf
Eu 151.96 Eu.upf
CELL_PARAMETERS angstrom
4.511 0.000 0.000
2.255 3.906 0.000
2.255 1.302 5.155
ATOMIC_POSITIONS angstrom
Ge 2.255 1.302 0.728
Ge 6.766 3.906 4.427
Ga 0.000 0.000 0.000
Eu 4.511 2.604 2.578
! M_tot   6.943 μB per formula unit
! Calculated formation energy   -1.23 eV/f.u.
! Energy above the lowest structure with this stoichiometry   0.205 eV per formula unit

---

! SnRhPb (PBE, relaxed); values from VASP
&SYSTEM
  ibrav = 0, nat = 3, ntyp = 3
/
ATOMIC_SPECIES
Rh 102.91 Rh.upf
Sn 118.71 Sn.upf
Pb 207.20 Pb.upf
CELL_PARAMETERS angstrom
-1.234 -2.875 -1.108
0.708 -1.426 2.912
-5.294 3.719 1.217
ATOMIC_POSITIONS angstrom
Rh -2.243 -1.592 1.657
Sn -3.312 0.935 1.263
Pb -0.265 0.075 0.101
! M_tot   0.000 μB per formula unit
! Calculated formation energy   -0.39 eV/f.u.

---

! AcHoRh (PBE, relaxed); values from VASP
&SYSTEM
  ibrav = 0, nat = 6, ntyp = 3
/
ATOMIC_SPECIES
Ho 164.93 Ho.upf
Rh 102.91 Rh.upf
Ac 227.00 Ac.upf
CELL_PARAMETERS angstrom
-2.104 -0.987 4.226
-2.298 -3.837 -2.041
5.160 -4.432 2.521
ATOMIC_POSITIONS angstrom
Ho 2.129 -6.272 5.053
Ho 2.157 -7.725 1.831
Rh 1.985 -4.909 2.651
Rh -2.860 -4.655 1.711
Ac 0.035 -3.081 1.411
Ac -0.910 -6.483 2.952
! M_tot   0.000 μB per formula unit
! Calculated formation energy   -1.73 eV/f.u.
! Energy above the lowest structure with this stoichiometry   0.000 eV per formula unit

---

! YTaSe (PBE, relaxed); values from VASP
&SYSTEM
  ibrav = 0, nat = 3, ntyp = 3
/
ATOMIC_SPECIES
Se 78.96 Se.upf
Ta 180.95 Ta.upf
Y 88.91 Y.upf
CELL_PARAMETERS angstrom
-5.629 1.061 2.224
-3.815 -0.083 4.816
0.093 3.101 1.303
ATOMIC_POSITIONS angstrom
Se -9.188 1.035 6.886
Ta -3.358 2.333 3.379
Y -6.248 1.689 5.118
! M_tot   0.000 μB per formula unit
! Energy above the lowest structure with this stoichiometry   0.163 eV per formula unit
! Formation energy (no corrections)   -419 meV/atom

---

! YTc3Ge3 (PBE, relaxed); values from VASP
&SYSTEM
  ibrav = 0, nat = 14, ntyp = 3
/
ATOMIC_SPECIES
Ge 72.64 Ge.upf
Y 88.91 Y.upf
Tc 98.00 Tc.upf
CELL_PARAMETERS angstrom
6.763 0.000 0.000
0.000 6.763 0.000
0.000 0.000 6.763
ATOMIC_POSITIONS angstrom
Ge 5.073 3.382 0.000
Ge 0.000 5.073 3.382
Ge 3.382 0.000 5.073
Ge 1.691 3.382 0.000
Ge 3.382 0.000 1.691
Ge 0.000 1.691 3.382
Y 3.382 3.382 3.382
Y 0.000 0.000 0.000
Tc 3.382 5.073 0.000
Tc 0.000 3.382 5.073
Tc 5.073 0.000 3.382
Tc 3.382 1.691 0.000
Tc 0.000 3.382 1.691
Tc 1.691 0.000 3.382
! M_tot   2.633 μB per formula unit
! Calculated formation energy   2.97 eV/f.u.
! Energy above the lowest structure with this stoichiometry   4.806 eV per formula unit

---

! Pm3Dy2ErSb6 (PBE, relaxed); values from VASP
&SYSTEM
  ibrav = 0, nat = 12, ntyp = 4
/
ATOMIC_SPECIES
Er 167.26 Er.upf
Sb 121.76 Sb.upf
Pm 145.00 Pm.upf
Dy 162.50 Dy.upf
CELL_PARAMETERS angstrom
-3.280 1.024 -2.805
-1.715 -8.619 -1.141
-3.998 1.883 8.869
ATOMIC_POSITIONS angstrom
Er -1.640 0.512 -1.402
Sb -5.350 -6.263 3.970
Sb -0.435 -2.100 -0.258
Sb -4.531 -3.676 0.450
Sb -4.462 -2.036 4.474
Sb -3.643 0.550 0.954
Sb -8.557 -3.612 5.182
Pm -5.680 0.672 3.381
Pm -3.312 -6.384 1.543
Pm -2.497 -3.798 -1.973
Dy -2.449 -2.074 2.106
Dy -6.544 -3.638 2.817
! M_tot   0.000 μB per formula unit
! Formation energy (no corrections)   -1151 meV/atom

---

! Cs2W2Au (PBE, relaxed); values from VASP
&SYSTEM
  ibrav = 0, nat = 5, ntyp = 3
/
ATOMIC_SPECIES
Au 196.97 Au.upf
W 183.84 W.upf
Cs 132.91 Cs.upf
CELL_PARAMETERS angstrom
3.638 0.000 0.000
0.000 3.638 0.000
1.819 1.819 12.192
ATOMIC_POSITIONS angstrom
Au 0.000 0.000 0.000
W 3.638 1.819 6.096
W 1.819 3.638 6.096
Cs 3.638 3.638 9.724
Cs 1.819 1.819 2.468
! M_tot   0.000 μB per formula unit
! Calculated formation energy   4.62 eV/f.u.
! Energy above the lowest structure with this stoichiometry   0.000 eV per formula unit

---

! CrRu2Cl (PBE, relaxed); values from VASP
&SYSTEM
  ibrav = 0, nat = 4, ntyp = 3
/
ATOMIC_SPECIES
Ru 101.07 Ru.upf
Cl 35.45 Cl.upf
Cr 52.00 Cr.upf
CELL_PARAMETERS angstrom
-0.126 -8.384 -0.075
1.684 -7.958 2.037
-1.086 -7.921 2.529
ATOMIC_POSITIONS angstrom
Ru 0.234 -12.031 2.227
Ru 0.002 -0.100 0.019
Cl 0.118 -6.066 1.123
Cr 0.354 -18.197 3.368
! M_tot   0.635 μB per formula unit
! Energy above the lowest structure with this stoichiometry   0.301 eV per formula unit
! Formation energy (no corrections)   372 meV/atom

---

! CsNp2Se4 (PBE, relaxed); values from VASP
&SYSTEM
  ibrav = 0, nat = 14, ntyp = 3
/
ATOMIC_SPECIES
Se 78.96 Se.upf
Np 237.00 Np.upf
Cs 132.91 Cs.upf
CELL_PARAMETERS angstrom
-3.575 0.909 -2.088
-1.986 -2.391 6.661
0.523 13.751 5.093
ATOMIC_POSITIONS angstrom
Se -1.788 0.455 -1.044
Se -1.526 7.330 1.502
Se -1.334 11.422 7.259
Se -0.601 3.062 2.362
Se -1.489 7.352 5.751
Se -3.703 0.847 2.407
Se -3.549 4.916 3.914
Se -4.437 9.206 7.304
Np -4.254 6.790 5.937
Np -0.784 5.478 3.728
Np -4.059 11.911 7.834
Np -0.979 0.358 1.832
Cs -2.855 1.905 5.718
Cs -2.183 10.363 3.948
! M_tot   7.000 μB per formula unit
! Energy above the lowest structure with this stoichiometry   0.391 eV per formula unit
! Formation energy (no corrections)   -1162 meV/atom

---

! ZnAgHg2 (PBE, relaxed); values from VASP
&SYSTEM
  ibrav = 0, nat = 4, ntyp = 3
/
ATOMIC_SPECIES
Hg 200.59 Hg.upf
Zn 65.41 Zn.upf
Ag 107.87 Ag.upf
CELL_PARAMETERS angstrom
3.163 -0.084 0.000
-1.383 2.846 0.000
0.000 0.000 9.428
ATOMIC_POSITIONS angstrom
Hg 0.890 1.381 2.541
Hg 0.000 0.000 9.322
Zn 0.000 0.000 4.818
Ag 0.890 1.381 6.889
! M_tot   0.000 μB per formula unit
! Calculated formation energy   0.48 eV/f.u.